Computed, not measured: a PBEsol-optimized structure of Mn2CoPPt at the meta-GGA SCAN level of DFT.

abc: 4.8383 4.8383 4.2918
angles: 90.00 90.00 90.00
Fractional positions:
Mn  0.0000  0.5000  0.0000
Mn  0.5000  0.0000  0.0000
Co  0.0000  0.0000  0.5000
P  0.5000  0.5000  0.5000
Pt  0.5000  0.5000  0.0000

Summary:
* DOS(E_F): 2.59 states/eV/f.u.
* ΔE_f: 0.490 eV per atom
* space-group type: P4/mmm (123)
* total magnetic moment: 10.90 μB/cell